Compound: NaSiAs2I
Source: the Alexandria database
Functional: GGA-PBE
Structure: relaxed Values from VASP.

Computed properties:
Density   3.90 g/cm3

```
&SYSTEM
  ibrav = 0, nat = 5, ntyp = 4
/
ATOMIC_SPECIES
As 74.92 As.upf
I 126.90 I.upf
Na 22.99 Na.upf
Si 28.09 Si.upf
ATOMIC_POSITIONS crystal
As 0.500 0.000 0.000
As 0.000 0.000 0.500
I 0.500 0.500 0.500
Na 0.000 0.000 0.000
Si 0.000 0.500 0.000
CELL_PARAMETERS angstrom
-2.532 1.694 4.045
4.170 -1.407 3.200
2.042 4.589 -0.644
```

Compound: Na2SnAsI
Source: the Alexandria database
Functional: GGA-PBE
Structure: relaxed Values from VASP.

Computed properties:
Density   3.03 g/cm3

```
&SYSTEM
  ibrav = 0, nat = 5, ntyp = 4
/
ATOMIC_SPECIES
Na 22.99 Na.upf
As 74.92 As.upf
Sn 118.71 Sn.upf
I 126.90 I.upf
ATOMIC_POSITIONS crystal
Na 0.000 0.000 0.500
Na 0.500 0.000 0.000
As 0.000 0.500 0.000
Sn 0.000 0.000 0.000
I 0.500 0.500 0.500
CELL_PARAMETERS angstrom
-3.430 -1.003 -5.195
4.231 -0.688 -2.661
-0.179 -6.166 1.309
```

Compound: Na2SrAsI
Source: the Alexandria database
Functional: GGA-PBE
Structure: relaxed Values from VASP.

Computed properties:
Density   3.03 g/cm3

```
&SYSTEM
  ibrav = 0, nat = 5, ntyp = 4
/
ATOMIC_SPECIES
Na 22.99 Na.upf
As 74.92 As.upf
I 126.90 I.upf
Sr 87.62 Sr.upf
ATOMIC_POSITIONS crystal
Na 0.000 0.500 0.000
Na 0.500 0.000 0.000
As 0.000 0.000 0.000
I 0.500 0.500 0.500
Sr 0.000 0.000 0.500
CELL_PARAMETERS angstrom
-1.283 4.926 -2.110
-2.147 -2.460 -4.439
-5.401 -0.233 2.741
```

Compound: NaTe2AsI
Source: the Alexandria database
Functional: GGA-PBE
Structure: relaxed Values from VASP.

Computed properties:
Density   4.70 g/cm3

```
&SYSTEM
  ibrav = 0, nat = 5, ntyp = 4
/
ATOMIC_SPECIES
I 126.90 I.upf
Te 127.60 Te.upf
Na 22.99 Na.upf
As 74.92 As.upf
ATOMIC_POSITIONS crystal
I 0.000 0.000 0.500
Te 0.000 0.500 0.000
Te 0.500 0.000 0.000
Na 0.000 0.000 0.000
As 0.500 0.500 0.500
CELL_PARAMETERS angstrom
-2.235 -1.760 4.773
4.948 0.459 2.486
-1.167 5.186 1.366
```

Compound: NaTeAsI2
Source: the Alexandria database
Functional: GGA-PBE
Structure: relaxed Values from VASP.

Computed properties:
Density   4.23 g/cm3

```
&SYSTEM
  ibrav = 0, nat = 5, ntyp = 4
/
ATOMIC_SPECIES
I 126.90 I.upf
Na 22.99 Na.upf
As 74.92 As.upf
Te 127.60 Te.upf
ATOMIC_POSITIONS crystal
I 0.500 0.000 0.000
I 0.000 0.500 0.000
Na 0.500 0.500 0.500
As 0.000 0.000 0.000
Te 0.000 0.000 0.500
CELL_PARAMETERS angstrom
-0.869 -5.256 2.371
5.445 -1.538 -1.412
1.803 1.903 4.879
```

Compound: NaTe2AsI
Source: the Alexandria database
Functional: GGA-PBE
Structure: relaxed Values from VASP.

Computed properties:
Density   4.40 g/cm3

```
&SYSTEM
  ibrav = 0, nat = 5, ntyp = 4
/
ATOMIC_SPECIES
I 126.90 I.upf
Te 127.60 Te.upf
As 74.92 As.upf
Na 22.99 Na.upf
ATOMIC_POSITIONS crystal
I 0.000 0.000 0.500
Te 0.000 0.500 0.000
Te 0.500 0.000 0.000
As 0.000 0.000 0.000
Na 0.500 0.500 0.500
CELL_PARAMETERS angstrom
5.546 0.000 0.000
0.000 5.546 0.000
0.000 0.000 5.886
```

| no. | E_form (uncorrected) (eV per atom) | E (eV per atom) | V (Å³ per cell) |
| --- | --- | --- | --- |
| 1 | 1.189 | -2.330 | 139.5 |
| 2 | -0.147 | -2.715 | 200.6 |
| 3 | -0.848 | -2.952 | 184.1 |
| 4 | 0.728 | -2.032 | 169.4 |
| 5 | -0.198 | -2.641 | 188.3 |
| 6 | -0.040 | -2.800 | 181.0 |